Entry 1:
# LaPr4Sm2Th

An optimized crystal structure of LaPr4Sm2Th (PBE-GGA, Alexandria via LeMat-Bulk).

a b c (Å): 3.677 6.341 12.273
angles (deg): 80.03 90.00 90.00
Fractional positions:
Pr 0.000 0.251 0.253
Pr 0.500 0.742 0.256
Sm 0.000 0.000 0.000
Pr 0.500 0.258 0.744
Sm 0.500 0.000 0.500
Pr 0.000 0.749 0.747
La 0.500 0.500 0.000
Th 0.000 0.500 0.500

Values from the calculation:
space group	P2/m, No. 10
crystal system	monoclinic
V	35.2	A^3/atom
total DFT energy (no corrections)	-40.61	eV per formula unit
calculated formation energy	0.0372	eV/atom


Entry 2:
# YCoW

An optimized crystal structure of YCoW (PBE-GGA, Alexandria via LeMat-Bulk).

a b c (Å): 3.992 3.992 4.377
angles (deg): 90.00 90.00 120.00
Fractional positions:
Co 0.000 0.000 0.167
W 0.333 0.667 0.167
Y 0.667 0.333 0.667

Values from the calculation:
space group	P-6m2, No. 187
polymorph energy (0 for the lowest one)	3.2	meV/atom
crystal system	hexagonal
V	20.1	A^3/atom
total DFT energy (no corrections)	-25.90	eV per formula unit
calculated formation energy	0.2068	eV/atom


Entry 3:
# Sr2TlSn4Au3

An optimized crystal structure of Sr2TlSn4Au3 (PBE-GGA, Alexandria via LeMat-Bulk).

a b c (Å): 4.787 4.787 11.837
angles (deg): 90.00 90.00 90.00
Fractional positions:
Sn 0.500 0.500 0.000
Sn 0.000 0.500 0.358
Sn 0.000 0.000 0.000
Tl 0.500 0.500 0.500
Au 0.000 0.500 0.131
Au 0.500 0.000 0.869
Au 0.000 0.000 0.500
Sr 0.000 0.500 0.752
Sn 0.500 0.000 0.642
Sr 0.500 0.000 0.248

Values from the calculation:
space group	P-4m2, No. 115
crystal system	tetragonal
V	27.1	A^3/atom
total DFT energy (no corrections)	-36.22	eV per formula unit
calculated formation energy	-0.4650	eV/atom


> Among the records above, which one has the lowest calculated formation energy?

Sr2TlSn4Au3


> What is the calculated formation energy in the third record?

-0.4650 eV/atom